A plane-wave DFT calculation with PBE was carried out for a relaxed structure of U3Ge5Te12.

Output
- VASP energy (eV per atom) = -4.959
- spin magnetization (μB/atom) = 0.349
- DOS at the Fermi energy (states/eV/f.u.) = 28.960
- formation energy without anion corrections (meV/atom) = -227

Unit cell a=15.080 b=15.080 c=15.080 alpha=109.47 beta=109.47 gamma=109.47
Each line ends with the local moment (μB).
Fractional positions:
U (0.750, 0.375, 0.125)  2.44
U (0.875, 0.750, 0.125)  2.44
U (0.375, 0.750, 0.625)  2.44
U (0.250, 0.125, 0.375)  2.44
U (0.875, 0.125, 0.250)  2.44
U (0.375, 0.625, 0.250)  2.44
U (0.625, 0.375, 0.750)  2.44
U (0.125, 0.875, 0.750)  2.44
U (0.750, 0.875, 0.625)  2.44
U (0.625, 0.250, 0.375)  2.44
U (0.125, 0.250, 0.875)  2.44
U (0.250, 0.625, 0.875)  2.44
Ge (0.125, 0.375, 0.250)  0.00
Ge (0.000, 0.500, 0.000)  -0.01
Ge (0.000, 0.000, 0.000)  -0.01
Ge (0.375, 0.250, 0.125)  0.00
Ge (0.500, 0.000, 0.500)  -0.01
Ge (0.500, 0.500, 0.000)  -0.01
Ge (0.125, 0.750, 0.375)  0.00
Ge (0.750, 0.125, 0.875)  0.00
Ge (0.750, 0.625, 0.375)  0.00
Ge (0.375, 0.125, 0.750)  0.00
Ge (0.625, 0.875, 0.250)  0.00
Ge (0.500, 0.500, 0.500)  -0.01
Ge (0.500, 0.000, 0.000)  -0.01
Ge (0.000, 0.000, 0.500)  -0.01
Ge (0.250, 0.375, 0.625)  0.00
Ge (0.250, 0.875, 0.125)  0.00
Ge (0.000, 0.500, 0.500)  -0.01
Ge (0.875, 0.250, 0.625)  0.00
Ge (0.625, 0.750, 0.875)  0.00
Ge (0.875, 0.625, 0.750)  0.00
Te (0.718, 0.133, 0.045)  -0.04
Te (0.327, 0.545, 0.412)  -0.04
Te (0.955, 0.367, 0.282)  -0.04
Te (0.545, 0.218, 0.133)  -0.04
Te (0.585, 0.718, 0.673)  -0.04
Te (0.955, 0.588, 0.173)  -0.04
Te (0.327, 0.782, 0.415)  -0.04
Te (0.088, 0.915, 0.133)  -0.04
Te (0.588, 0.955, 0.673)  -0.04
Te (0.718, 0.585, 0.173)  -0.04
Te (0.782, 0.455, 0.367)  -0.04
Te (0.827, 0.912, 0.045)  -0.04
Te (0.133, 0.718, 0.545)  -0.04
Te (0.367, 0.412, 0.085)  -0.04
Te (0.085, 0.912, 0.367)  -0.04
Te (0.415, 0.133, 0.588)  -0.04
Te (0.085, 0.173, 0.218)  -0.04
Te (0.455, 0.673, 0.088)  -0.04
Te (0.827, 0.915, 0.282)  -0.04
Te (0.133, 0.415, 0.088)  -0.04
Te (0.367, 0.955, 0.782)  -0.04
Te (0.588, 0.633, 0.415)  -0.04
Te (0.912, 0.827, 0.545)  -0.04
Te (0.782, 0.327, 0.915)  -0.04
Te (0.412, 0.367, 0.585)  -0.04
Te (0.088, 0.173, 0.455)  -0.04
Te (0.218, 0.673, 0.085)  -0.04
Te (0.173, 0.085, 0.718)  -0.04
Te (0.633, 0.045, 0.218)  -0.04
Te (0.867, 0.585, 0.912)  -0.04
Te (0.545, 0.327, 0.912)  -0.04
Te (0.585, 0.867, 0.412)  -0.04
Te (0.915, 0.827, 0.782)  -0.04
Te (0.915, 0.088, 0.633)  -0.04
Te (0.867, 0.282, 0.455)  -0.04
Te (0.173, 0.088, 0.955)  -0.04
Te (0.633, 0.588, 0.915)  -0.04
Te (0.412, 0.045, 0.327)  -0.04
Te (0.282, 0.415, 0.827)  -0.04
Te (0.218, 0.545, 0.633)  -0.04
Te (0.912, 0.085, 0.867)  -0.04
Te (0.673, 0.218, 0.585)  -0.04
Te (0.455, 0.782, 0.867)  -0.04
Te (0.045, 0.412, 0.827)  -0.04
Te (0.415, 0.282, 0.327)  -0.04
Te (0.045, 0.633, 0.718)  -0.04
Te (0.673, 0.455, 0.588)  -0.04
Te (0.282, 0.867, 0.955)  -0.04